First-principles (PBE+U) data for a relaxed structure of KCaNbWO6, as listed in Alexandria via LeMat-Bulk.

Lattice parameters (Å, degrees): 5.727 5.727 5.727 60.00 60.00 60.00
Sites, in units of the cell vectors:
K 0.000 0.000 0.000
Ca 0.500 0.500 0.500
Nb 0.750 0.750 0.750
W 0.250 0.250 0.250
O 0.501 0.501 0.999
O 0.501 0.999 0.501
O 0.501 0.999 0.999
O 0.999 0.501 0.501
O 0.999 0.501 0.999
O 0.999 0.999 0.501

Output
theoretical density	5.6	g cm⁻³
D(E_F)	0.337	states/eV per atom
E_tot	-7.3571	eV per atom